Computed, not measured: a relaxed Cs2TiICl6 crystal at the PBE-GGA level of DFT.

```
Cs2TiICl6
1.0
-4.616 -6.981 1.088
3.529 -3.404 -6.869
3.313 -7.273 0.122
Cs I Cl Ti
2 1 6 1
direct
0.750 0.250 0.500
0.250 0.750 0.500
0.000 0.000 0.000
0.275 0.275 0.451
0.725 0.725 0.549
0.303 0.303 0.000
0.697 0.697 0.000
0.697 0.303 0.000
0.303 0.697 0.000
0.500 0.500 0.000
```

Properties
E_form (uncorrected) ... -1486 meV per atom
SG ... I4/mmm (139)
Volume ... 379 Å³/f.u.
Fermi-level density of states ... 0.322 states/eV per atom
Uncorrected energy ... -3.709 eV/atom
Total magnetic moment ... 0.000 μB per atom